Entry 1:
Computed, not measured: an optimized crystal structure of RbFe2Co at the PBE level of DFT.

## Properties
Fermi-level density of states = 6.1 states/eV/cell
Energy of formation = 4.63 eV per formula unit
Excess energy over the best structure of this formula in the dataset = 0 meV per atom
Electronic total energy = -5.093 eV/atom

```
RbFe2Co
1.0
5.085 0.000 0.000
0.000 5.085 0.000
2.543 2.543 7.796
Fe Rb Co
4 2 2
direct
0.875 0.625 0.750
0.375 0.125 0.250
0.375 0.625 0.250
0.375 0.625 0.750
0.000 0.000 0.000
0.750 0.250 0.500
0.500 0.500 0.000
0.250 0.750 0.500
```



Entry 2:
Computed, not measured: an optimized crystal structure of RbFeCo2 at the PBE level of DFT.

## Properties
Fermi-level density of states = 4.4 states/eV/cell
Energy of formation = 5.98 eV per formula unit
Excess energy over the best structure of this formula in the dataset = 366 meV per atom
Electronic total energy = -4.415 eV/atom

```
RbFeCo2
1.0
-4.375 -1.162 -0.058
-2.711 1.219 3.414
-3.174 3.162 -0.648
Fe Co Rb
1 2 1
direct
0.000 0.000 0.000
0.250 0.250 0.250
0.750 0.750 0.750
0.500 0.500 0.500
```